Here is a geometry-optimized Pr3Tl5Br12 structure from Alexandria via LeMat-Bulk. Energies are from GGA-PBE.

abc: 16.1375 16.1375 16.1375
angles: 109.47 109.47 109.47
With the nearest neighbours (Å) after each atom.
Atoms (fractional coordinates):
Pr 0.1250 0.2500 0.3750  4 Br 3.00
Pr 0.1250 0.3750 0.7500  4 Br 3.00
Pr 0.2500 0.3750 0.1250  4 Br 3.00
Pr 0.2500 0.8750 0.6250  4 Br 3.00
Pr 0.3750 0.1250 0.2500  4 Br 3.00
Pr 0.3750 0.7500 0.1250  4 Br 3.00
Pr 0.6250 0.2500 0.8750  4 Br 3.00
Pr 0.6250 0.8750 0.7500  4 Br 3.00
Pr 0.7500 0.1250 0.3750  4 Br 3.00
Pr 0.7500 0.6250 0.8750  4 Br 3.00
Pr 0.8750 0.6250 0.2500  4 Br 3.00
Pr 0.8750 0.7500 0.6250  4 Br 3.00
Tl 0.0000 0.0000 0.0000  6 Br 3.27
Tl 0.0000 0.0000 0.5000  6 Br 3.27
Tl 0.0000 0.5000 0.0000  6 Br 3.27
Tl 0.0000 0.5000 0.5000  6 Br 3.27
Tl 0.1250 0.7500 0.8750  4 Br 3.21
Tl 0.1250 0.8750 0.2500  4 Br 3.21
Tl 0.2500 0.1250 0.8750  4 Br 3.21
Tl 0.2500 0.6250 0.3750  4 Br 3.21
Tl 0.3750 0.2500 0.6250  4 Br 3.21
Tl 0.3750 0.6250 0.7500  4 Br 3.21
Tl 0.5000 0.0000 0.0000  6 Br 3.27
Tl 0.5000 0.0000 0.5000  6 Br 3.27
Tl 0.5000 0.5000 0.0000  6 Br 3.27
Tl 0.5000 0.5000 0.5000  6 Br 3.27
Tl 0.6250 0.3750 0.2500  4 Br 3.21
Tl 0.6250 0.7500 0.3750  4 Br 3.21
Tl 0.7500 0.3750 0.6250  4 Br 3.21
Tl 0.7500 0.8750 0.1250  4 Br 3.21
Tl 0.8750 0.1250 0.7500  4 Br 3.21
Tl 0.8750 0.2500 0.1250  4 Br 3.21
Br 0.0559 0.6263 0.3864  1 Pr 3.00, 2 Tl 3.21-3.27
Br 0.0559 0.9295 0.6695  1 Pr 3.00, 2 Tl 3.21-3.27
Br 0.0705 0.2400 0.1263  1 Pr 3.00, 2 Tl 3.21-3.27
Br 0.0705 0.3305 0.9441  1 Pr 3.00, 2 Tl 3.21-3.27
Br 0.1136 0.7400 0.6695  1 Pr 3.00, 2 Tl 3.21-3.27
Br 0.1136 0.8737 0.4441  1 Pr 3.00, 2 Tl 3.21-3.27
Br 0.1263 0.0705 0.2400  1 Pr 3.00, 2 Tl 3.21-3.27
Br 0.1263 0.5559 0.8864  1 Pr 3.00, 2 Tl 3.21-3.27
Br 0.1695 0.2400 0.6136  1 Pr 3.00, 2 Tl 3.21-3.27
Br 0.1695 0.4295 0.5559  1 Pr 3.00, 2 Tl 3.21-3.27
Br 0.2400 0.1263 0.0705  1 Pr 3.00, 2 Tl 3.21-3.27
Br 0.2400 0.6136 0.1695  1 Pr 3.00, 2 Tl 3.21-3.27
Br 0.2600 0.3305 0.8864  1 Pr 3.00, 2 Tl 3.21-3.27
Br 0.2600 0.4295 0.3737  1 Pr 3.00, 2 Tl 3.21-3.27
Br 0.3305 0.8864 0.2600  1 Pr 3.00, 2 Tl 3.21-3.27
Br 0.3305 0.9441 0.0705  1 Pr 3.00, 2 Tl 3.21-3.27
Br 0.3737 0.2600 0.4295  1 Pr 3.00, 2 Tl 3.21-3.27
Br 0.3737 0.6136 0.9441  1 Pr 3.00, 2 Tl 3.21-3.27
Br 0.3864 0.0559 0.6263  1 Pr 3.00, 2 Tl 3.21-3.27
Br 0.3864 0.8305 0.7600  1 Pr 3.00, 2 Tl 3.21-3.27
Br 0.4295 0.3737 0.2600  1 Pr 3.00, 2 Tl 3.21-3.27
Br 0.4295 0.5559 0.1695  1 Pr 3.00, 2 Tl 3.21-3.27
Br 0.4441 0.1136 0.8737  1 Pr 3.00, 2 Tl 3.21-3.27
Br 0.4441 0.8305 0.5705  1 Pr 3.00, 2 Tl 3.21-3.27
Br 0.5559 0.1695 0.4295  1 Pr 3.00, 2 Tl 3.21-3.27
Br 0.5559 0.8864 0.1263  1 Pr 3.00, 2 Tl 3.21-3.27
Br 0.5705 0.4441 0.8305  1 Pr 3.00, 2 Tl 3.21-3.27
Br 0.5705 0.6263 0.7400  1 Pr 3.00, 2 Tl 3.21-3.27
Br 0.6136 0.1695 0.2400  1 Pr 3.00, 2 Tl 3.21-3.27
Br 0.6136 0.9441 0.3737  1 Pr 3.00, 2 Tl 3.21-3.27
Br 0.6263 0.3864 0.0559  1 Pr 3.00, 2 Tl 3.21-3.27
Br 0.6263 0.7400 0.5705  1 Pr 3.00, 2 Tl 3.21-3.27
Br 0.6695 0.0559 0.9295  1 Pr 3.00, 2 Tl 3.21-3.27
Br 0.6695 0.1136 0.7400  1 Pr 3.00, 2 Tl 3.21-3.27
Br 0.7400 0.5705 0.6263  1 Pr 3.00, 2 Tl 3.21-3.27
Br 0.7400 0.6695 0.1136  1 Pr 3.00, 2 Tl 3.21-3.27
Br 0.7600 0.3864 0.8305  1 Pr 3.00, 2 Tl 3.21-3.27
Br 0.7600 0.8737 0.9295  1 Pr 3.00, 2 Tl 3.21-3.27
Br 0.8305 0.5705 0.4441  1 Pr 3.00, 2 Tl 3.21-3.27
Br 0.8305 0.7600 0.3864  1 Pr 3.00, 2 Tl 3.21-3.27
Br 0.8737 0.4441 0.1136  1 Pr 3.00, 2 Tl 3.21-3.27
Br 0.8737 0.9295 0.7600  1 Pr 3.00, 2 Tl 3.21-3.27
Br 0.8864 0.1263 0.5559  1 Pr 3.00, 2 Tl 3.21-3.27
Br 0.8864 0.2600 0.3305  1 Pr 3.00, 2 Tl 3.21-3.27
Br 0.9295 0.6695 0.0559  1 Pr 3.00, 2 Tl 3.21-3.27
Br 0.9295 0.7600 0.8737  1 Pr 3.00, 2 Tl 3.21-3.27
Br 0.9441 0.0705 0.3305  1 Pr 3.00, 2 Tl 3.21-3.27
Br 0.9441 0.3737 0.6136  1 Pr 3.00, 2 Tl 3.21-3.27

## Properties
Final energy (eV per cell): -273.2
Crystal system: cubic
Formation energy (no corrections) (eV per atom): -1.103
Symmetry: Ia-3d